Computed, not measured: LaAsBr2F after structural relaxation at the PBE-GGA level of DFT.

Calculated values
For the density, the calculation gives 5.496 g/cm³. Its uncorrected formation energy is -4.87 eV/f.u. For the raw total energy, the calculation gives -19.67 eV per cell. The density of states at the Fermi level is 0.652 states/eV per atom. The value obtained for the energy above the most stable polymorph in this dataset is 0.000 eV per atom.

a b c (Å): 5.3677 5.3677 4.1174
angles (deg): 90.00 90.00 90.00
Closest atoms and distances in Å follow each position.
Positions (direct):
La1 0.5000 0.5000 0.5000  8 Br 3.38
Br1 0.0000 0.5000 0.0000  2 F 2.68
Br2 0.5000 0.0000 0.0000  2 F 2.68
F1 0.0000 0.0000 0.0000  2 As 2.06
As1 0.0000 0.0000 0.5000  2 F 2.06

Computed, not measured: LiAsBr2F after structural relaxation at the PBE-GGA level of DFT.

Calculated values
For the density, the calculation gives 3.419 g/cm³. Its uncorrected formation energy is -2.57 eV/f.u. For the raw total energy, the calculation gives -14.36 eV per cell. The density of states at the Fermi level is 0.224 states/eV per atom. The value obtained for the energy above the most stable polymorph in this dataset is 0.000 eV per atom.

a b c (Å): 5.7160 5.7160 3.8750
angles (deg): 90.00 90.00 90.00
Closest atoms and distances in Å follow each position.
Positions (direct):
Br1 0.5000 0.0000 0.0000  2 F 2.86
Br2 0.0000 0.5000 0.0000  2 F 2.86
Li1 0.5000 0.5000 0.5000  8 Br 3.45
F1 0.0000 0.0000 0.0000  2 As 1.94
As1 0.0000 0.0000 0.5000  2 F 1.94

Computed, not measured: LiAsBr2F after structural relaxation at the PBE-GGA level of DFT.

Calculated values
For the density, the calculation gives 4.044 g/cm³. Its uncorrected formation energy is -0.15 eV/f.u. For the raw total energy, the calculation gives -11.93 eV per cell. The density of states at the Fermi level is 0.754 states/eV per atom. The value obtained for the energy above the most stable polymorph in this dataset is 0.485 eV per atom.

a b c (Å): 4.6684 4.6684 4.9110
angles (deg): 90.00 90.00 90.00
Closest atoms and distances in Å follow each position.
Positions (direct):
Li1 0.0000 0.0000 0.0000  4 Br 2.33, 2 As 2.46
F1 0.5000 0.5000 0.5000  4 As 3.30, 8 Br 3.39
As1 0.0000 0.0000 0.5000  2 Li 2.46
Br1 0.5000 0.0000 0.0000  2 Li 2.33
Br2 0.0000 0.5000 0.0000  2 Li 2.33

Computed, not measured: LiAsBrF6 after structural relaxation at the PBE-GGA level of DFT.

Calculated values
For the density, the calculation gives 2.646 g/cm³. Its uncorrected formation energy is -17.42 eV/f.u. For the raw total energy, the calculation gives -36.88 eV per cell. The density of states at the Fermi level is 0.957 states/eV per atom.

a b c (Å): 5.1953 5.1953 7.4049
angles (deg): 90.01 89.99 59.97
Closest atoms and distances in Å follow each position.
Positions (direct):
F1 0.6070 0.3489 0.6362  1 As 1.78
F2 0.0438 0.6071 0.6363  1 As 1.78
F3 0.6071 0.0439 0.3637  1 As 1.78
F4 0.0439 0.3490 0.3638  1 As 1.78
F5 0.3489 0.6070 0.3638  1 As 1.78
F6 0.3490 0.0440 0.6362  1 As 1.78
As1 0.3333 0.3333 0.5000  6 F 1.78
Li1 0.6665 0.6666 0.5000  6 F 2.08-2.09
Br1 0.0003 0.0003 0.0000  6 F 3.32

Computed, not measured: MgAsBr2F after structural relaxation at the PBE-GGA level of DFT.

Calculated values
For the density, the calculation gives 3.784 g/cm³. Its uncorrected formation energy is -1.55 eV/f.u. For the raw total energy, the calculation gives -13.01 eV per cell. The density of states at the Fermi level is 0.538 states/eV per atom. The value obtained for the energy above the most stable polymorph in this dataset is 0.000 eV per atom.

a b c (Å): 5.5839 5.5839 3.9135
angles (deg): 90.00 90.00 90.00
Closest atoms and distances in Å follow each position.
Positions (direct):
As1 0.0000 0.0000 0.5000  2 F 1.96
Br1 0.0000 0.5000 0.0000  2 F 2.79
Br2 0.5000 0.0000 0.0000  2 F 2.79
Mg1 0.5000 0.5000 0.5000  8 Br 3.41
F1 0.0000 0.0000 0.0000  2 As 1.96

Computed, not measured: MgAsBr2F after structural relaxation at the PBE-GGA level of DFT.

Calculated values
For the density, the calculation gives 3.405 g/cm³. Its uncorrected formation energy is -0.90 eV/f.u. For the raw total energy, the calculation gives -12.36 eV per cell. The density of states at the Fermi level is 0.751 states/eV per atom. The value obtained for the energy above the most stable polymorph in this dataset is 0.129 eV per atom.

a b c (Å): 4.9953 4.9953 5.4330
angles (deg): 90.00 90.00 90.00
Closest atoms and distances in Å follow each position.
Positions (direct):
F1 0.5000 0.5000 0.5000  4 As 3.53, 8 Br 3.69
Br1 0.5000 0.0000 0.0000  2 Mg 2.50
Br2 0.0000 0.5000 0.0000  2 Mg 2.50
Mg1 0.0000 0.0000 0.0000  4 Br 2.50, 2 As 2.72
As1 0.0000 0.0000 0.5000  2 Mg 2.72